Here is a geometry-optimized Cs2PdO2 structure from Alexandria via LeMat-Bulk. Energies are from PBE.

The structure in POSCAR format:
```
Cs2PdO2
1.0
-2.970 2.970 5.269
2.970 -2.970 5.269
2.970 2.970 -5.269
Cs Pd O
2 1 2
Direct
0.250 0.750 0.500
0.750 0.250 0.500
0.000 0.000 0.000
0.178 0.178 0.000
0.822 0.822 0.000
```

E, eV per atom: -4.24
Calculated volume, Å³/cell: 186

Here is a geometry-optimized K2AgIr structure from Alexandria via LeMat-Bulk. Energies are from PBE.

The structure in POSCAR format:
```
K2AgIr
1.0
2.794 0.000 0.000
0.000 5.540 0.000
-0.027 0.000 6.385
K Ag Ir
2 1 1
Direct
0.000 0.000 0.000
0.005 0.500 0.666
0.502 0.500 0.214
0.502 0.000 0.468
```

Excess energy over the best structure of this formula in the dataset, eV/atom: 0.127
Calculated volume, Å³/cell: 99
DOS at the Fermi energy, states/eV/cell: 3.17
Energy relative to the elements, eV per atom: 0.649

Here is a geometry-optimized Y2Sb2W structure from Alexandria via LeMat-Bulk. Energies are from PBE.

The structure in POSCAR format:
```
Y2Sb2W
1.0
-2.955 2.955 4.245
2.955 -2.955 4.245
2.955 2.955 -4.245
Y Sb W
2 2 1
Direct
0.250 0.750 0.500
0.750 0.250 0.500
0.184 0.184 0.000
0.816 0.816 0.000
0.500 0.500 0.000
```

E, eV per atom: -6.44
Calculated volume, Å³/cell: 148
DOS at the Fermi energy, states/eV/cell: 7.17

Here is a geometry-optimized Ac2YLu structure from Alexandria via LeMat-Bulk. Energies are from PBE.

The structure in POSCAR format:
```
Ac2YLu
1.0
0.000 4.221 4.221
4.221 0.000 4.221
4.221 4.221 0.000
Ac Y Lu
2 1 1
Direct
0.250 0.250 0.250
0.750 0.750 0.750
0.000 0.000 0.000
0.500 0.500 0.500
```

Excess energy over the best structure of this formula in the dataset, eV/atom: 0.028
Calculated volume, Å³/cell: 150
DOS at the Fermi energy, states/eV/cell: 6.32
Energy relative to the elements, eV per atom: 0.080

Here is a geometry-optimized NbFePt3 structure from Alexandria via LeMat-Bulk. Energies are from PBE.

The structure in POSCAR format:
```
NbFePt3
1.0
4.817 0.000 0.000
1.639 4.542 0.000
0.828 2.264 7.033
Nb Fe Pt
2 2 6
Direct
0.250 0.149 0.202
0.750 0.851 0.798
0.250 0.357 0.786
0.750 0.643 0.214
0.250 0.554 0.393
0.250 0.749 0.002
0.250 0.946 0.608
0.750 0.054 0.392
0.750 0.251 0.998
0.750 0.446 0.607
```

Excess energy over the best structure of this formula in the dataset, eV/atom: 0.000
Calculated volume, Å³/cell: 154
DOS at the Fermi energy, states/eV/cell: 6.87
Energy relative to the elements, eV per atom: -0.485

Here is a geometry-optimized BaNpIr structure from Alexandria via LeMat-Bulk. Energies are from PBE.

The structure in POSCAR format:
```
BaNpIr
1.0
4.712 0.000 0.000
0.000 4.712 0.000
0.000 0.000 8.309
Ba Np Ir
2 2 2
Direct
0.250 0.250 0.143
0.750 0.750 0.857
0.250 0.750 0.500
0.750 0.250 0.500
0.250 0.250 0.681
0.750 0.750 0.319
```

Calculated volume, Å³/cell: 184
DOS at the Fermi energy, states/eV/cell: 11.18
Energy relative to the elements, eV per atom: -0.094

Here is a geometry-optimized UMnP structure from Alexandria via LeMat-Bulk. Energies are from PBE.

The structure in POSCAR format:
```
UMnP
1.0
2.699 -2.734 0.000
2.699 2.734 0.000
-0.925 0.000 6.238
U Mn P
2 2 2
Direct
0.195 0.195 0.156
0.805 0.805 0.844
0.255 0.745 0.500
0.745 0.255 0.500
0.280 0.280 0.703
0.720 0.720 0.297
```

Calculated volume, Å³/cell: 92
DOS at the Fermi energy, states/eV/cell: 8.90
Energy relative to the elements, eV per atom: -0.689

Here is a geometry-optimized MnBe4Ir5 structure from Alexandria via LeMat-Bulk. Energies are from PBE.

The structure in POSCAR format:
```
MnBe4Ir5
1.0
2.828 0.000 0.000
0.000 2.828 0.000
0.000 0.000 14.441
Mn Be Ir
1 4 5
Direct
0.000 0.000 0.000
0.000 0.000 0.215
0.000 0.000 0.404
0.000 0.000 0.596
0.000 0.000 0.785
0.500 0.500 0.113
0.500 0.500 0.307
0.500 0.500 0.500
0.500 0.500 0.693
0.500 0.500 0.887
```

Calculated volume, Å³/cell: 115
DOS at the Fermi energy, states/eV/cell: 6.80
Energy relative to the elements, eV per atom: -0.479

> Among the records above, which one has the highest calculated volume?

Cs2PdO2

> The lowest calculated volume belongs to which entry?

UMnP

> What is the calculated volume in the sixth record?

184 Å³/cell

> Which of these has the highest calculated volume?

Cs2PdO2